Crystalline TlFeIO6 at its relaxed geometry. Source: Alexandria, functional PBE+U.

```
TlFeIO6
1.0
-3.413 -4.005 -0.231
-0.596 -2.653 -4.469
3.494 -3.088 1.308
Tl Fe I O
1 1 1 6
Direct
0.997 0.001 0.000
0.660 0.670 0.500
0.332 0.334 0.500
0.021 0.354 0.279
0.357 0.015 0.724
0.627 0.359 0.718
0.021 0.624 0.721
0.357 0.628 0.275
0.627 0.014 0.282
```

Computed properties:
Total DFT energy (no corrections) = -4.8634 eV/atom
Total magnetic moment = 1.83 Bohr magnetons per cell